Record 1
# RbTh2S6 PBE optimized geometry
# * calculated density: 5.2 g cm⁻³
# * E: -6.07 eV per atom
# * total moment: 0.001 μB per atom
data_RbTh2S6
_space_group_name_H-M_alt 'I m m m'
_space_group_IT_number 71
_space_group_name_Hall '-I 2 2'
_cell_length_a 4.128
_cell_length_b 5.229
_cell_length_c 22.014
_cell_angle_alpha 90.00
_cell_angle_beta 90.00
_cell_angle_gamma 90.00
loop_
_atom_site_label
_atom_site_type_symbol
_atom_site_fract_x
_atom_site_fract_y
_atom_site_fract_z
Rb1 Rb 0.000 0.000 0.000
Th1 Th 0.000 0.500 0.179
S1 S 0.000 0.000 0.231
S2 S 0.000 0.239 0.392

***

Record 2
# MoPb2N PBE optimized geometry
# * calculated density: 12.0 g cm⁻³
# * E: -5.63 eV per atom
# * total moment: 0.274 μB per atom
data_MoPb2N
_space_group_name_H-M_alt 'P 63/m m c'
_space_group_IT_number 194
_space_group_name_Hall '-P 6c 2c'
_cell_length_a 3.3311
_cell_length_b 3.3311
_cell_length_c 15.1476
_cell_angle_alpha 90.00
_cell_angle_beta 90.00
_cell_angle_gamma 120.00
loop_
_atom_site_label
_atom_site_type_symbol
_atom_site_fract_x
_atom_site_fract_y
_atom_site_fract_z
Mo1 Mo 0.3333 0.6667 0.2500
Pb1 Pb 0.3333 0.6667 0.6035
N1 N 0.0000 0.0000 0.0000

***

Record 3
# HfTlCuW PBE optimized geometry
# * calculated density: 14.1 g cm⁻³
# * E: -6.60 eV per atom
# * energy above the most stable polymorph in this dataset: 0.000 eV per atom
# * total moment: 0.049 μB per atom
data_HfTlCuW
_space_group_name_H-M_alt 'F -4 3 m'
_space_group_IT_number 216
_space_group_name_Hall 'F -4 2 3'
_cell_length_a 6.667
_cell_length_b 6.667
_cell_length_c 6.667
_cell_angle_alpha 90.00
_cell_angle_beta 90.00
_cell_angle_gamma 90.00
loop_
_atom_site_label
_atom_site_type_symbol
_atom_site_fract_x
_atom_site_fract_y
_atom_site_fract_z
Hf1 Hf 0.000 0.000 0.000
Tl1 Tl 0.000 0.000 0.500
Cu1 Cu 0.250 0.250 0.750
W1 W 0.250 0.250 0.250

***

Record 4
# La2NdAg2Hg3Pd PBE optimized geometry
# * calculated density: 10.0 g cm⁻³
# * E: -3.40 eV per atom
# * total moment: 0.002 μB per atom
# * energy relative to the elements: -411 kJ/mol of formula units
data_La2NdAg2Hg3Pd
_space_group_name_H-M_alt 'A m m 2'
_space_group_IT_number 38
_cell_length_a 4.007
_cell_length_b 13.867
_cell_length_c 8.060
_cell_angle_alpha 90.00
_cell_angle_beta 90.00
_cell_angle_gamma 90.00
loop_
_space_group_symop_operation_xyz
'x,y,z'
'-x,-y,z'
'-x,y,z'
'x,-y,z'
'x,y+1/2,z+1/2'
'-x,-y+1/2,z+1/2'
'-x,y+1/2,z+1/2'
'x,-y+1/2,z+1/2'
loop_
_atom_site_label
_atom_site_type_symbol
_atom_site_fract_x
_atom_site_fract_y
_atom_site_fract_z
La1 La 0.000 0.194 0.000
Nd1 Nd 0.000 0.000 0.579
Ag1 Ag 0.500 0.166 0.692
Hg1 Hg 0.500 0.000 0.925
Hg2 Hg 0.500 0.131 0.326
Pd1 Pd 0.000 0.000 0.190

***

Record 5
# RbPrZnTe3 PBE optimized geometry
# * calculated density: 5.0 g cm⁻³
# * E: -3.65 eV per atom
# * energy above the most stable polymorph in this dataset: 0.185 eV per atom
# * total moment: 0.000 μB per atom
data_RbPrZnTe3
_space_group_name_H-M_alt 'C 1 2/m 1'
_space_group_IT_number 12
_cell_length_a 20.517
_cell_length_b 4.687
_cell_length_c 9.500
_cell_angle_alpha 90.00
_cell_angle_beta 101.74
_cell_angle_gamma 90.00
loop_
_space_group_symop_operation_xyz
'x,y,z'
'-x,-y,-z'
'-x,y,-z'
'x,-y,z'
'x+1/2,y+1/2,z'
'-x+1/2,-y+1/2,-z'
'-x+1/2,y+1/2,-z'
'x+1/2,-y+1/2,z'
loop_
_atom_site_label
_atom_site_type_symbol
_atom_site_fract_x
_atom_site_fract_y
_atom_site_fract_z
Rb1 Rb 0.137 0.000 0.066
Pr1 Pr 0.167 0.000 0.566
Zn1 Zn 0.034 0.500 0.736
Te1 Te 0.000 0.000 0.500
Te2 Te 0.000 0.500 0.000
Te3 Te 0.165 0.500 0.795
Te4 Te 0.176 0.500 0.349

***

Record 6
# SmUHg PBE optimized geometry
# * calculated density: 10.8 g cm⁻³
# * E: -4.60 eV per atom
# * energy above the most stable polymorph in this dataset: 0.000 eV per atom
# * total moment: 1.070 μB per atom
# * energy relative to the elements: 243 kJ/mol of formula units
data_SmUHg
_space_group_name_H-M_alt 'F -4 3 m'
_space_group_IT_number 216
_space_group_name_Hall 'F -4 2 3'
_cell_length_a 7.122
_cell_length_b 7.122
_cell_length_c 7.122
_cell_angle_alpha 90.00
_cell_angle_beta 90.00
_cell_angle_gamma 90.00
loop_
_atom_site_label
_atom_site_type_symbol
_atom_site_fract_x
_atom_site_fract_y
_atom_site_fract_z
Sm1 Sm 0.000 0.000 0.000
U1 U 0.250 0.250 0.750
Hg1 Hg 0.000 0.000 0.500

***

Record 7
# NbCuBAu PBE optimized geometry
# * calculated density: 10.6 g cm⁻³
# * E: -5.42 eV per atom
# * energy above the most stable polymorph in this dataset: 0.000 eV per atom
# * total moment: 0.011 μB per atom
data_NbCuBAu
_space_group_name_H-M_alt 'F -4 3 m'
_space_group_IT_number 216
_space_group_name_Hall 'F -4 2 3'
_cell_length_a 6.102
_cell_length_b 6.102
_cell_length_c 6.102
_cell_angle_alpha 90.00
_cell_angle_beta 90.00
_cell_angle_gamma 90.00
loop_
_atom_site_label
_atom_site_type_symbol
_atom_site_fract_x
_atom_site_fract_y
_atom_site_fract_z
Nb1 Nb 0.000 0.000 0.000
Cu1 Cu 0.000 0.000 0.500
B1 B 0.250 0.250 0.250
Au1 Au 0.250 0.250 0.750

***

Record 8
# SrHoB PBE optimized geometry
# * calculated density: 5.9 g cm⁻³
# * E: -3.85 eV per atom
# * energy above the most stable polymorph in this dataset: 0.000 eV per atom
# * total moment: 0.001 μB per atom
data_SrHoB
_space_group_name_H-M_alt 'F -4 3 m'
_space_group_IT_number 216
_space_group_name_Hall 'F -4 2 3'
_cell_length_a 6.675
_cell_length_b 6.675
_cell_length_c 6.675
_cell_angle_alpha 90.00
_cell_angle_beta 90.00
_cell_angle_gamma 90.00
loop_
_atom_site_label
_atom_site_type_symbol
_atom_site_fract_x
_atom_site_fract_y
_atom_site_fract_z
Sr1 Sr 0.000 0.000 0.000
Ho1 Ho 0.000 0.000 0.500
B1 B 0.250 0.250 0.750

***

Record 9
# Tb2Pt2O5 PBE optimized geometry
# * calculated density: 10.3 g cm⁻³
# * E: -6.58 eV per atom
# * energy above the most stable polymorph in this dataset: 0.122 eV per atom
# * total moment: 0.017 μB per atom
data_Tb2Pt2O5
_space_group_name_H-M_alt 'P 4/m m m'
_space_group_IT_number 123
_space_group_name_Hall '-P 4 2'
_cell_length_a 3.738
_cell_length_b 3.738
_cell_length_c 9.136
_cell_angle_alpha 90.00
_cell_angle_beta 90.00
_cell_angle_gamma 90.00
loop_
_atom_site_label
_atom_site_type_symbol
_atom_site_fract_x
_atom_site_fract_y
_atom_site_fract_z
Tb1 Tb 0.000 0.000 0.239
Pt1 Pt 0.500 0.500 0.000
Pt2 Pt 0.500 0.500 0.500
O1 O 0.000 0.000 0.000
O2 O 0.000 0.500 0.368

***

Record 10
# K4P2Au7 PBE optimized geometry
# * calculated density: 7.4 g cm⁻³
# * E: -3.30 eV per atom
data_K4P2Au7
_space_group_name_H-M_alt 'R -3 m'
_space_group_IT_number 166
_space_group_name_Hall '-R 3 2"'
_cell_length_a 6.4466
_cell_length_b 6.4466
_cell_length_c 29.8783
_cell_angle_alpha 90.00
_cell_angle_beta 90.00
_cell_angle_gamma 120.00
loop_
_atom_site_label
_atom_site_type_symbol
_atom_site_fract_x
_atom_site_fract_y
_atom_site_fract_z
K1 K 0.0000 0.0000 0.1844
K2 K 0.0000 0.0000 0.3111
P1 P 0.0000 0.0000 0.0550
Au1 Au 0.0000 0.0000 0.5000
Au2 Au 0.0437 0.5219 0.2445

***

Record 11
# HoErSi4Pd2 PBE optimized geometry
# * calculated density: 7.7 g cm⁻³
# * E: -5.95 eV per atom
# * total moment: 0.002 μB per atom
data_HoErSi4Pd2
_space_group_name_H-M_alt 'A m m 2'
_space_group_IT_number 38
_cell_length_a 4.078
_cell_length_b 3.995
_cell_length_c 17.467
_cell_angle_alpha 90.00
_cell_angle_beta 90.00
_cell_angle_gamma 90.00
loop_
_space_group_symop_operation_xyz
'x,y,z'
'-x,-y,z'
'-x,y,z'
'x,-y,z'
'x,y+1/2,z+1/2'
'-x,-y+1/2,z+1/2'
'-x,y+1/2,z+1/2'
'x,-y+1/2,z+1/2'
loop_
_atom_site_label
_atom_site_type_symbol
_atom_site_fract_x
_atom_site_fract_y
_atom_site_fract_z
Ho1 Ho 0.000 0.000 0.000
Er1 Er 0.500 0.000 0.803
Si1 Si 0.000 0.000 0.367
Si2 Si 0.000 0.000 0.650
Si3 Si 0.500 0.000 0.153
Si4 Si 0.500 0.000 0.436
Pd1 Pd 0.000 0.000 0.231
Pd2 Pd 0.500 0.000 0.572

***

Record 12
# CoH6C16N10 PBE optimized geometry
# * calculated density: 1.7 g cm⁻³
# * E: -7.47 eV per atom
# * total moment: 0.030 μB per atom
data_CoH6C16N10
_space_group_name_H-M_alt 'P 1 21/c 1'
_space_group_IT_number 14
_cell_length_a 7.280
_cell_length_b 11.024
_cell_length_c 10.713
_cell_angle_alpha 90.00
_cell_angle_beta 112.08
_cell_angle_gamma 90.00
loop_
_space_group_symop_operation_xyz
'x,y,z'
'-x,-y,-z'
'-x,y+1/2,-z+1/2'
'x,-y+1/2,z+1/2'
loop_
_atom_site_label
_atom_site_type_symbol
_atom_site_fract_x
_atom_site_fract_y
_atom_site_fract_z
Co1 Co 0.000 0.000 0.000
H1 H 0.396 0.214 0.774
H2 H 0.398 0.703 0.571
H3 H 0.456 0.578 0.684
C1 C 0.050 0.744 0.916
C2 C 0.084 0.623 0.895
C3 C 0.106 0.531 0.006
C4 C 0.106 0.586 0.779
C5 C 0.192 0.590 0.138
C6 C 0.241 0.065 0.501
C7 C 0.359 0.103 0.923
C8 C 0.480 0.152 0.855
N1 N 0.026 0.656 0.441
N2 N 0.131 0.552 0.682
N3 N 0.262 0.643 0.239
N4 N 0.266 0.061 0.979
N5 N 0.353 0.138 0.494

***

Record 13
# Tm12Ni6Sn PBE optimized geometry
# * calculated density: 9.6 g cm⁻³
# * E: -5.23 eV per atom
# * total moment: 0.014 μB per atom
data_Tm12Ni6Sn
_space_group_name_H-M_alt 'I m -3'
_space_group_IT_number 204
_space_group_name_Hall '-I 2 2 3'
_cell_length_a 9.536
_cell_length_b 9.536
_cell_length_c 9.536
_cell_angle_alpha 90.00
_cell_angle_beta 90.00
_cell_angle_gamma 90.00
loop_
_atom_site_label
_atom_site_type_symbol
_atom_site_fract_x
_atom_site_fract_y
_atom_site_fract_z
Tm1 Tm 0.000 0.188 0.303
Ni1 Ni 0.000 0.376 0.500
Sn1 Sn 0.000 0.000 0.000

***

Record 14
# HoBiSbClO4 PBE optimized geometry
# * calculated density: 7.7 g cm⁻³
# * E: -6.35 eV per atom
# * total moment: 0.000 μB per atom
data_HoBiSbClO4
_space_group_name_H-M_alt 'P 4 m m'
_space_group_IT_number 99
_cell_length_a 3.813
_cell_length_b 3.813
_cell_length_c 8.796
_cell_angle_alpha 90.00
_cell_angle_beta 90.00
_cell_angle_gamma 90.00
loop_
_space_group_symop_operation_xyz
'x,y,z'
'-y,x,z'
'-x,-y,z'
'y,-x,z'
'-x,y,z'
'y,x,z'
'x,-y,z'
'-y,-x,z'
loop_
_atom_site_label
_atom_site_type_symbol
_atom_site_fract_x
_atom_site_fract_y
_atom_site_fract_z
Ho1 Ho 0.000 0.000 0.000
Bi1 Bi 0.500 0.500 0.716
Sb1 Sb 0.500 0.500 0.279
Cl1 Cl 0.000 0.000 0.514
O1 O 0.000 0.500 0.166
O2 O 0.000 0.500 0.851

***

Record 15
# NbBr PBE optimized geometry
# * calculated density: 5.6 g cm⁻³
# * E: -4.93 eV per atom
# * total moment: 0.783 μB per atom
data_NbBr
_space_group_name_H-M_alt 'F -4 3 m'
_space_group_IT_number 216
_space_group_name_Hall 'F -4 2 3'
_cell_length_a 5.911
_cell_length_b 5.911
_cell_length_c 5.911
_cell_angle_alpha 90.00
_cell_angle_beta 90.00
_cell_angle_gamma 90.00
loop_
_atom_site_label
_atom_site_type_symbol
_atom_site_fract_x
_atom_site_fract_y
_atom_site_fract_z
Nb1 Nb 0.000 0.000 0.000
Br1 Br 0.250 0.250 0.250

***

Record 16
# AgOsI6 PBE optimized geometry
# * calculated density: 5.4 g cm⁻³
# * E: -2.65 eV per atom
# * total moment: 0.375 μB per atom
data_AgOsI6
_space_group_name_H-M_alt 'F -4 3 m'
_space_group_IT_number 216
_space_group_name_Hall 'F -4 2 3'
_cell_length_a 10.898
_cell_length_b 10.898
_cell_length_c 10.898
_cell_angle_alpha 90.00
_cell_angle_beta 90.00
_cell_angle_gamma 90.00
loop_
_atom_site_label
_atom_site_type_symbol
_atom_site_fract_x
_atom_site_fract_y
_atom_site_fract_z
Ag1 Ag 0.000 0.000 0.000
Os1 Os 0.250 0.250 0.250
I1 I 0.005 0.250 0.250

***

Record 17
# ThSnMo PBE optimized geometry
# * calculated density: 9.6 g cm⁻³
# * E: -7.25 eV per atom
# * energy above the most stable polymorph in this dataset: 0.000 eV per atom
# * total moment: 0.001 μB per atom
data_ThSnMo
_space_group_name_H-M_alt 'F -4 3 m'
_space_group_IT_number 216
_space_group_name_Hall 'F -4 2 3'
_cell_length_a 6.752
_cell_length_b 6.752
_cell_length_c 6.752
_cell_angle_alpha 90.00
_cell_angle_beta 90.00
_cell_angle_gamma 90.00
loop_
_atom_site_label
_atom_site_type_symbol
_atom_site_fract_x
_atom_site_fract_y
_atom_site_fract_z
Th1 Th 0.000 0.000 0.000
Sn1 Sn 0.000 0.000 0.500
Mo1 Mo 0.250 0.250 0.750

***

Record 18
# Li4InBiPt2 PBE optimized geometry
# * calculated density: 9.3 g cm⁻³
# * E: -3.86 eV per atom
# * total moment: 0.000 μB per atom
data_Li4InBiPt2
_space_group_name_H-M_alt 'P -4 m 2'
_space_group_IT_number 115
_cell_length_a 4.543
_cell_length_b 4.543
_cell_length_c 6.414
_cell_angle_alpha 90.00
_cell_angle_beta 90.00
_cell_angle_gamma 90.00
loop_
_space_group_symop_operation_xyz
'x,y,z'
'y,-x,-z'
'-x,-y,z'
'-y,x,-z'
'-x,y,z'
'-y,-x,-z'
'x,-y,z'
'y,x,-z'
loop_
_atom_site_label
_atom_site_type_symbol
_atom_site_fract_x
_atom_site_fract_y
_atom_site_fract_z
Li1 Li 0.000 0.000 0.000
Li2 Li 0.000 0.500 0.735
Li3 Li 0.500 0.500 0.500
In1 In 0.000 0.000 0.500
Bi1 Bi 0.500 0.500 0.000
Pt1 Pt 0.000 0.500 0.259

***

Record 19
# TmPaBi PBE optimized geometry
# * calculated density: 10.7 g cm⁻³
# * E: -5.33 eV per atom
# * energy above the most stable polymorph in this dataset: 0.000 eV per atom
# * total moment: 1.088 μB per atom
data_TmPaBi
_space_group_name_H-M_alt 'F -4 3 m'
_space_group_IT_number 216
_space_group_name_Hall 'F -4 2 3'
_cell_length_a 7.241
_cell_length_b 7.241
_cell_length_c 7.241
_cell_angle_alpha 90.00
_cell_angle_beta 90.00
_cell_angle_gamma 90.00
loop_
_atom_site_label
_atom_site_type_symbol
_atom_site_fract_x
_atom_site_fract_y
_atom_site_fract_z
Tm1 Tm 0.000 0.000 0.000
Pa1 Pa 0.250 0.250 0.250
Bi1 Bi 0.250 0.250 0.750

***

Record 20
# Li4TlGePd2 PBE optimized geometry
# * calculated density: 7.0 g cm⁻³
# * E: -3.59 eV per atom
data_Li4TlGePd2
_space_group_name_H-M_alt 'P -4 m 2'
_space_group_IT_number 115
_cell_length_a 4.402
_cell_length_b 4.402
_cell_length_c 6.334
_cell_angle_alpha 90.00
_cell_angle_beta 90.00
_cell_angle_gamma 90.00
loop_
_space_group_symop_operation_xyz
'x,y,z'
'y,-x,-z'
'-x,-y,z'
'-y,x,-z'
'-x,y,z'
'-y,-x,-z'
'x,-y,z'
'y,x,-z'
loop_
_atom_site_label
_atom_site_type_symbol
_atom_site_fract_x
_atom_site_fract_y
_atom_site_fract_z
Li1 Li 0.000 0.000 0.000
Li2 Li 0.000 0.500 0.232
Li3 Li 0.500 0.500 0.500
Tl1 Tl 0.000 0.000 0.500
Ge1 Ge 0.500 0.500 0.000
Pd1 Pd 0.000 0.500 0.783

***

Record 21
# Hf2Al2CoCu3 PBE optimized geometry
# * calculated density: 9.2 g cm⁻³
# * E: -6.08 eV per atom
# * total moment: 0.000 μB per atom
data_Hf2Al2CoCu3
_space_group_name_H-M_alt 'P 3 m 1'
_space_group_IT_number 156
_cell_length_a 4.1551
_cell_length_b 4.1551
_cell_length_c 7.9680
_cell_angle_alpha 90.00
_cell_angle_beta 90.00
_cell_angle_gamma 120.00
loop_
_space_group_symop_operation_xyz
'x,y,z'
'-y,x-y,z'
'-x+y,-x,z'
'-y,-x,z'
'-x+y,y,z'
'x,x-y,z'
loop_
_atom_site_label
_atom_site_type_symbol
_atom_site_fract_x
_atom_site_fract_y
_atom_site_fract_z
Hf1 Hf 0.0000 0.0000 0.0000
Hf2 Hf 0.3333 0.6667 0.5153
Al1 Al 0.6667 0.3333 0.2503
Al2 Al 0.6667 0.3333 0.7407
Co1 Co 0.0000 0.0000 0.6757
Cu1 Cu 0.0000 0.0000 0.3444
Cu2 Cu 0.3333 0.6667 0.1671
Cu3 Cu 0.3333 0.6667 0.8454

***

Record 22
# Li4AlZnNi2 PBE optimized geometry
# * calculated density: 3.9 g cm⁻³
# * E: -3.17 eV per atom
# * total moment: 0.000 μB per atom
data_Li4AlZnNi2
_space_group_name_H-M_alt 'P -4 m 2'
_space_group_IT_number 115
_cell_length_a 4.147
_cell_length_b 4.147
_cell_length_c 5.873
_cell_angle_alpha 90.00
_cell_angle_beta 90.00
_cell_angle_gamma 90.00
loop_
_space_group_symop_operation_xyz
'x,y,z'
'y,-x,-z'
'-x,-y,z'
'-y,x,-z'
'-x,y,z'
'-y,-x,-z'
'x,-y,z'
'y,x,-z'
loop_
_atom_site_label
_atom_site_type_symbol
_atom_site_fract_x
_atom_site_fract_y
_atom_site_fract_z
Li1 Li 0.000 0.000 0.000
Li2 Li 0.000 0.500 0.240
Li3 Li 0.500 0.500 0.500
Al1 Al 0.000 0.000 0.500
Zn1 Zn 0.500 0.500 0.000
Ni1 Ni 0.000 0.500 0.741